(1)
This record from the Alexandria database describes crystalline NaCrPdF6 at its relaxed geometry. The functional is PBE with a Hubbard U.

Computed properties:
* spin magnetization: 2.24 Bohr magnetons per cell
* uncorrected energy: -5.001 eV per atom

Cell lengths 5.488, 5.488, 9.012 Å; angles 90.00, 90.00, 120.00 degrees
Element x y z (fractional)
1 Na 0.333 0.667 0.250
2 Na 0.667 0.333 0.750
3 Cr 0.333 0.667 0.750
4 Cr 0.667 0.333 0.250
5 Pd 0.000 0.000 0.000
6 Pd 0.000 0.000 0.500
7 F 0.043 0.366 0.629
8 F 0.043 0.676 0.871
9 F 0.324 0.366 0.871
10 F 0.324 0.957 0.629
11 F 0.366 0.043 0.129
12 F 0.366 0.324 0.371
13 F 0.634 0.676 0.629
14 F 0.634 0.957 0.871
15 F 0.676 0.043 0.371
16 F 0.676 0.634 0.129
17 F 0.957 0.324 0.129
18 F 0.957 0.634 0.371

(2)
This record from the Alexandria database describes crystalline Sr2HfMnO6 at its relaxed geometry. The functional is PBE with a Hubbard U.

Computed properties:
* spin magnetization: 6.03 Bohr magnetons per cell
* uncorrected energy: -7.787 eV per atom

Cell lengths 5.651, 5.626, 9.749 Å; angles 90.00, 125.35, 90.00 degrees
Element x y z (fractional)
1 Sr 0.248 0.001 0.249
2 Sr 0.248 0.499 0.749
3 Sr 0.752 0.501 0.251
4 Sr 0.752 0.999 0.751
5 Hf 0.500 0.000 0.000
6 Hf 0.500 0.500 0.500
7 Mn 0.000 0.000 0.500
8 Mn 0.000 0.500 0.000
9 O 0.218 0.244 0.478
10 O 0.218 0.256 0.978
11 O 0.221 0.740 0.978
12 O 0.221 0.760 0.478
13 O 0.284 0.000 0.742
14 O 0.284 0.500 0.242
15 O 0.716 0.000 0.258
16 O 0.716 0.500 0.758
17 O 0.779 0.240 0.522
18 O 0.779 0.260 0.022
19 O 0.782 0.744 0.022
20 O 0.782 0.756 0.522